Entry from Alexandria: a relaxed Zr2GaPt crystal (PBE-GGA).

Cell: 4.0239 4.3042 4.3042 Å, 90.00 90.00 90.00°
Closest atoms and distances in Å follow each position.
Fractional coordinates of all 4 atoms:
Ga: 0.5000 0.5000 0.5000  8 Zr 2.95, 4 Pt 3.04
Pt: 0.5000 0.0000 0.0000  8 Zr 2.95, 4 Ga 3.04
Zr: 0.0000 0.0000 0.5000  4 Ga 2.95, 4 Pt 2.95, 4 Zr 3.04
Zr: 0.0000 0.5000 0.0000  4 Pt 2.95, 4 Ga 2.95, 4 Zr 3.04

The calculation puts the density of states at the Fermi level at 4.28 states/eV per cell. For the uncorrected energy, the calculation gives -29.1 eV per cell. As for the formation energy: -16.67 kcal/mol of atoms.